# 1
Crystalline Dy4BiOs at its relaxed geometry. Source: Alexandria via LeMat-Bulk, functional PBE.

Cell lengths 8.1002, 8.1002, 6.1825 Å; angles 102.44, 102.44, 112.69 degrees
With the nearest neighbours (Å) after each atom.
Atoms (fractional coordinates):
Dy1 0.0582 0.7249 0.9345  2 Os 2.86-2.88
Dy2 0.2043 0.3450 0.6472  2 Os 2.88-2.93
Dy3 0.2751 0.9418 0.5655  2 Os 2.86-2.88
Dy4 0.3450 0.2043 0.1472  2 Os 2.88-2.93
Dy5 0.6550 0.7957 0.8528  2 Os 2.88-2.93
Dy6 0.7249 0.0582 0.4345  2 Os 2.86-2.88
Dy7 0.7957 0.6550 0.3528  2 Os 2.88-2.93
Dy8 0.9418 0.2751 0.0655  2 Os 2.86-2.88
Bi1 0.3723 0.6277 0.2500  8 Dy 3.26-3.57
Bi2 0.6277 0.3723 0.7500  8 Dy 3.26-3.57
Os1 0.0005 0.9995 0.2500  8 Dy 2.86-2.93, 2 Os 3.09
Os2 0.9995 0.0005 0.7500  8 Dy 2.86-2.93, 2 Os 3.09

Output
- crystal system = monoclinic
- calculated density (g/cm3) = 10.11
- uncorrected energy (eV/atom) = -6.0598
- ΔH_f (0 K) (eV/atom) = -0.47
- D(E_F) (states/eV/f.u.) = 4.4

# 2
Crystalline MgGaSeO5 at its relaxed geometry. Source: Alexandria via LeMat-Bulk, functional PBE.

Cell lengths 5.7455, 5.7455, 7.0688 Å; angles 105.41, 105.41, 108.38 degrees
With the nearest neighbours (Å) after each atom.
Atoms (fractional coordinates):
Mg1 0.0132 0.9868 0.7500  3 O 1.96-2.09
Mg2 0.9868 0.0132 0.2500  3 O 1.96-2.09
Ga1 0.0000 0.5000 0.0000  4 O 1.87-2.08
Ga2 0.5000 0.0000 0.5000  4 O 1.87-2.08
Se1 0.4603 0.5397 0.7500  2 O 1.71
Se2 0.5397 0.4603 0.2500  2 O 1.71
O1 0.1647 0.2350 0.0951  1 Se 1.94, 1 Mg 2.09
O2 0.1974 0.8026 0.2500  2 Ga 1.87, 1 Mg 1.96
O3 0.2350 0.1647 0.5951  1 Se 1.94, 1 Mg 2.09
O4 0.3362 0.6489 0.9330  1 Se 1.71
O5 0.3511 0.6638 0.5670  1 Se 1.71
O6 0.6489 0.3362 0.4330  1 Se 1.71
O7 0.6638 0.3511 0.0670  1 Se 1.71
O8 0.7650 0.8353 0.4049  1 Se 1.94, 1 Mg 2.09
O9 0.8026 0.1974 0.7500  2 Ga 1.87, 1 Mg 1.96
O10 0.8353 0.7650 0.9049  1 Se 1.94, 1 Mg 2.09

Output
- crystal system = monoclinic
- calculated density (g/cm3) = 4.26
- uncorrected energy (eV/atom) = -5.4463
- E_form (uncorrected) (eV/atom) = -1.3342
- D(E_F) (states/eV/f.u.) = 1.3

# 3
Crystalline CsRb5Na2 at its relaxed geometry. Source: Alexandria via LeMat-Bulk, functional PBE.

Cell lengths 11.5751, 11.5751, 11.5751 Å; angles 154.24, 105.30, 80.54 degrees
With the nearest neighbours (Å) after each atom.
Atoms (fractional coordinates):
Cs1 0.0000 0.0000 0.0000  4 Na 4.87, 2 Cs 5.16, 8 Rb 5.39
Rb1 0.1426 0.3573 0.7854  3 Na 4.32-4.53, 4 Rb 4.69-4.70
Rb2 0.4281 0.6427 0.7854  3 Na 4.32-4.53, 4 Rb 4.69-4.70
Rb3 0.5000 0.0000 0.5000  2 Na 4.70, 10 Rb 4.70-5.16
Rb4 0.5719 0.3573 0.2146  3 Na 4.32-4.53, 4 Rb 4.69-4.70
Rb5 0.8574 0.6427 0.2146  3 Na 4.32-4.53, 4 Rb 4.69-4.70
Na1 0.2341 0.7341 0.5000  7 Rb 4.32-4.70
Na2 0.7659 0.2659 0.5000  7 Rb 4.32-4.70

Output
- crystal system = orthorhombic
- calculated density (g/cm3) = 1.57
- uncorrected energy (eV/atom) = -1.0029
- ΔH_f (0 K) (eV/atom) = 0.04
- D(E_F) (states/eV/f.u.) = 6.7

# 4
Crystalline AsRu2W at its relaxed geometry. Source: Alexandria via LeMat-Bulk, functional PBE.

Cell lengths 5.1852, 5.1852, 5.1852 Å; angles 146.71, 129.12, 62.17 degrees
With the nearest neighbours (Å) after each atom.
Atoms (fractional coordinates):
As1 0.0000 0.0000 0.0000  6 Ru 2.42-2.68, 2 W 2.56
Ru1 0.2151 0.7151 0.5000  2 As 2.42
Ru2 0.4963 0.4963 0.0000  4 As 2.68, 2 W 2.81, 6 Ru 2.91-2.97
W1 0.7650 0.2650 0.5000  2 As 2.56, 6 Ru 2.71-2.81

Output
- crystal system = orthorhombic
- calculated density (g/cm3) = 13.02
- uncorrected energy (eV/atom) = -8.9912
- ΔH_f (0 K) (eV/atom) = 0.05
- D(E_F) (states/eV/f.u.) = 3.0

# 5
Crystalline U6PbSe12 at its relaxed geometry. Source: Alexandria via LeMat-Bulk, functional PBE.

Cell lengths 8.4034, 8.4034, 8.4034 Å; angles 104.96, 104.96, 104.96 degrees
With the nearest neighbours (Å) after each atom.
Atoms (fractional coordinates):
U1 0.2539 0.2539 0.6686  7 Se 2.82-2.93
U2 0.2539 0.6686 0.2539  7 Se 2.82-2.93
U3 0.3314 0.7461 0.7461  7 Se 2.82-2.93
U4 0.6686 0.2539 0.2539  7 Se 2.82-2.93
U5 0.7461 0.3314 0.7461  7 Se 2.82-2.93
U6 0.7461 0.7461 0.3314  7 Se 2.82-2.93
Pb1 0.0000 0.0000 0.0000  18 Se 4.10-4.53, 6 U 4.54
Se1 0.1279 0.5000 0.8721  4 U 2.92-2.93
Se2 0.1279 0.8721 0.5000  4 U 2.92-2.93
Se3 0.1795 0.4397 0.4397  3 U 2.82-2.84
Se4 0.4397 0.1795 0.4397  3 U 2.82-2.84
Se5 0.4397 0.4397 0.1795  3 U 2.82-2.84
Se6 0.5000 0.1279 0.8721  4 U 2.92-2.93
Se7 0.5000 0.8721 0.1279  4 U 2.92-2.93
Se8 0.5603 0.5603 0.8205  3 U 2.82-2.84
Se9 0.5603 0.8205 0.5603  3 U 2.82-2.84
Se10 0.8205 0.5603 0.5603  3 U 2.82-2.84
Se11 0.8721 0.1279 0.5000  4 U 2.92-2.93
Se12 0.8721 0.5000 0.1279  4 U 2.92-2.93

Output
- crystal system = trigonal
- calculated density (g/cm3) = 8.26
- uncorrected energy (eV/atom) = -6.8519
- E_form (uncorrected) (eV/atom) = -0.8913
- D(E_F) (states/eV/f.u.) = 39.1

# 6
Crystalline Pr5DySn3 at its relaxed geometry. Source: Alexandria via LeMat-Bulk, functional PBE.

Cell lengths 9.6852, 9.6852, 6.7908 Å; angles 90.00, 90.00, 120.00 degrees
With the nearest neighbours (Å) after each atom.
Atoms (fractional coordinates):
Pr1 0.0000 0.3314 0.2500  5 Sn 3.21-3.40
Pr2 0.0000 0.6686 0.7500  5 Sn 3.21-3.40
Pr3 0.3314 0.0000 0.2500  5 Sn 3.21-3.40
Pr4 0.3314 0.3314 0.7500  5 Sn 3.21-3.40
Pr5 0.3333 0.6667 0.0000  8 Pr 3.40-3.66, 6 Sn 3.65
Pr6 0.3333 0.6667 0.5000  8 Pr 3.40-3.66, 6 Sn 3.65
Pr7 0.6667 0.3333 0.0000  8 Pr 3.40-3.66, 6 Sn 3.65
Pr8 0.6667 0.3333 0.5000  8 Pr 3.40-3.66, 6 Sn 3.65
Pr9 0.6686 0.0000 0.7500  5 Sn 3.21-3.40
Pr10 0.6686 0.6686 0.2500  5 Sn 3.21-3.40
Dy1 0.0000 0.0000 0.0000  2 Dy 3.40, 6 Pr 3.63, 6 Sn 3.64
Dy2 0.0000 0.0000 0.5000  2 Dy 3.40, 6 Pr 3.63, 6 Sn 3.64
Sn1 0.0000 0.3322 0.7500  5 Pr 3.21-3.40
Sn2 0.0000 0.6678 0.2500  5 Pr 3.21-3.40
Sn3 0.3322 0.0000 0.7500  5 Pr 3.21-3.40
Sn4 0.3322 0.3322 0.2500  5 Pr 3.21-3.40
Sn5 0.6678 0.0000 0.2500  5 Pr 3.21-3.40
Sn6 0.6678 0.6678 0.7500  5 Pr 3.21-3.40

Output
- crystal system = hexagonal
- calculated density (g/cm3) = 7.36
- uncorrected energy (eV/atom) = -5.0575
- ΔH_f (0 K) (eV/atom) = -0.56
- D(E_F) (states/eV/f.u.) = 9.7

Look up the uncorrected energy of the first one. -6.0598 eV/atom

Copy entry 1 word for word.
Crystalline Dy4BiOs at its relaxed geometry. Source: Alexandria via LeMat-Bulk, functional PBE.

Cell lengths 8.1002, 8.1002, 6.1825 Å; angles 102.44, 102.44, 112.69 degrees
With the nearest neighbours (Å) after each atom.
Atoms (fractional coordinates):
Dy1 0.0582 0.7249 0.9345  2 Os 2.86-2.88
Dy2 0.2043 0.3450 0.6472  2 Os 2.88-2.93
Dy3 0.2751 0.9418 0.5655  2 Os 2.86-2.88
Dy4 0.3450 0.2043 0.1472  2 Os 2.88-2.93
Dy5 0.6550 0.7957 0.8528  2 Os 2.88-2.93
Dy6 0.7249 0.0582 0.4345  2 Os 2.86-2.88
Dy7 0.7957 0.6550 0.3528  2 Os 2.88-2.93
Dy8 0.9418 0.2751 0.0655  2 Os 2.86-2.88
Bi1 0.3723 0.6277 0.2500  8 Dy 3.26-3.57
Bi2 0.6277 0.3723 0.7500  8 Dy 3.26-3.57
Os1 0.0005 0.9995 0.2500  8 Dy 2.86-2.93, 2 Os 3.09
Os2 0.9995 0.0005 0.7500  8 Dy 2.86-2.93, 2 Os 3.09

Output
- crystal system = monoclinic
- calculated density (g/cm3) = 10.11
- uncorrected energy (eV/atom) = -6.0598
- ΔH_f (0 K) (eV/atom) = -0.47
- D(E_F) (states/eV/f.u.) = 4.4

Copy entry 2 word for word.
Crystalline MgGaSeO5 at its relaxed geometry. Source: Alexandria via LeMat-Bulk, functional PBE.

Cell lengths 5.7455, 5.7455, 7.0688 Å; angles 105.41, 105.41, 108.38 degrees
With the nearest neighbours (Å) after each atom.
Atoms (fractional coordinates):
Mg1 0.0132 0.9868 0.7500  3 O 1.96-2.09
Mg2 0.9868 0.0132 0.2500  3 O 1.96-2.09
Ga1 0.0000 0.5000 0.0000  4 O 1.87-2.08
Ga2 0.5000 0.0000 0.5000  4 O 1.87-2.08
Se1 0.4603 0.5397 0.7500  2 O 1.71
Se2 0.5397 0.4603 0.2500  2 O 1.71
O1 0.1647 0.2350 0.0951  1 Se 1.94, 1 Mg 2.09
O2 0.1974 0.8026 0.2500  2 Ga 1.87, 1 Mg 1.96
O3 0.2350 0.1647 0.5951  1 Se 1.94, 1 Mg 2.09
O4 0.3362 0.6489 0.9330  1 Se 1.71
O5 0.3511 0.6638 0.5670  1 Se 1.71
O6 0.6489 0.3362 0.4330  1 Se 1.71
O7 0.6638 0.3511 0.0670  1 Se 1.71
O8 0.7650 0.8353 0.4049  1 Se 1.94, 1 Mg 2.09
O9 0.8026 0.1974 0.7500  2 Ga 1.87, 1 Mg 1.96
O10 0.8353 0.7650 0.9049  1 Se 1.94, 1 Mg 2.09

Output
- crystal system = monoclinic
- calculated density (g/cm3) = 4.26
- uncorrected energy (eV/atom) = -5.4463
- E_form (uncorrected) (eV/atom) = -1.3342
- D(E_F) (states/eV/f.u.) = 1.3